Record 1
5
Lattice="-3.157 -0.969 1.489 0.009 -3.045 -1.962 2.888 -2.774 4.319" Properties=species:S:1:pos:R:3 comment="CrCIN2 (PBE-GGA, relaxed)" raw_formation_energy_mev_per_atom=1591 space_group="No. 123" volume_a3_per_atom=15.46 energy_ev_per_atom=-5.818 pbc="T T T"
Cr 0.000 0.000 0.000
C -0.130 -3.394 1.922
N 0.005 -1.522 -0.981
N -1.579 -0.485 0.744
I 1.444 -1.387 2.159

***

Record 2
4
Lattice="6.099 0.008 0.000 3.597 4.926 0.000 -4.848 -2.467 2.759" Properties=species:S:1:pos:R:3 comment="K2NiOs (PBE-GGA, relaxed)" delta_e_f_mev_per_atom=1388.1 space_group="No. 139" volume_a3_per_atom=20.70 energy_ev_per_atom=-3.413 pbc="T T T"
K 0.000 0.000 0.000
K 4.848 2.467 0.000
Ni 1.798 2.463 1.379
Os 3.050 0.004 1.379

***

Record 3
3
Lattice="-3.623 -1.310 -3.039 -3.893 -2.435 1.730 -4.363 2.229 0.279" Properties=species:S:1:pos:R:3 comment="CeEuIr (PBE-GGA, relaxed)" delta_e_f_mev_per_atom=-400.6 space_group="No. 216" volume_a3_per_atom=27.85 energy_ev_per_atom=-8.757 pbc="T T T"
Eu 0.000 0.000 0.000
Ir -2.970 -0.379 -0.257
Ce -5.939 -0.758 -0.515

***

Record 4
16
Lattice="7.118 0.000 0.000 0.000 8.519 -0.641 0.000 0.296 8.538" Properties=species:S:1:pos:R:3 comment="Tb3Th13 (PBE-GGA, relaxed)" delta_e_f_mev_per_atom=53.8 space_group="No. 38" volume_a3_per_atom=32.44 energy_ev_per_atom=-6.843 pbc="T T T"
Th 1.783 3.899 0.069
Th 3.559 1.830 2.353
Th 5.335 3.899 0.069
Th 0.000 6.264 6.314
Th 3.559 6.276 6.335
Th 3.559 6.772 1.309
Th 1.796 4.773 3.541
Th 3.559 2.747 5.802
Th 1.783 8.319 4.029
Th 0.000 1.852 2.362
Th 5.335 8.319 4.029
Th 5.322 4.773 3.541
Th 0.000 6.786 1.294
Tb 0.000 2.723 5.829
Tb 5.344 0.645 8.149
Tb 1.774 0.645 8.149